Density functional theory data (PBE) for an optimized crystal structure of Ce3Sm5As8.

Geometry as POSCAR:
```
Ce3Sm5As8
1.0
7.3135 0.0000 4.1892
2.4569 6.8884 4.1892
0.0299 0.0211 8.4264
Ce Sm As
3 5 8
direct
0.5000 0.0000 0.5000 Ce
0.0000 0.0000 0.5000 Ce
0.0000 0.5000 0.5000 Ce
0.5000 0.0000 0.0000 Sm
0.5000 0.5000 0.0000 Sm
0.0000 0.0000 0.0000 Sm
0.0000 0.5000 0.0000 Sm
0.5000 0.5000 0.5000 Sm
0.2500 0.2500 0.7479 As
0.2500 0.7521 0.7479 As
0.7521 0.2500 0.7479 As
0.7506 0.7506 0.7482 As
0.7500 0.7500 0.2521 As
0.7500 0.2479 0.2521 As
0.2479 0.7500 0.2521 As
0.2494 0.2494 0.2518 As
```

total magnetization: 1.8 μB per formula unit
energy of formation from the pure elements: -1497 meV/atom
electronic total energy: -102.54 eV/f.u.